A:
Computed, not measured: crystalline LiIrRu2 at its relaxed geometry at the GGA-PBE level of DFT.

Size of the total moment, μB per cell: 0.0

abc: 4.9566 4.9566 4.9566
angles: 146.40 127.63 63.67
Fractional coordinates of all 4 atoms:
Li (0.0000, 0.0000, 0.0000)
Ir (0.7651, 0.2651, 0.5000)
Ru (0.2353, 0.7353, 0.5000)
Ru (0.4964, 0.4964, 0.0000)

***

B:
Computed, not measured: crystalline LiIrRu2 at its relaxed geometry at the GGA-PBE level of DFT.

Size of the total moment, μB per cell: 0.0

abc: 9.1596 9.1596 9.1596
angles: 16.97 16.97 16.97
Fractional coordinates of all 4 atoms:
Li (0.0000, 0.0000, 0.0000)
Ir (0.5000, 0.5000, 0.5000)
Ru (0.2478, 0.2478, 0.2478)
Ru (0.7522, 0.7522, 0.7522)

***

C:
Computed, not measured: crystalline LiIrRu2 at its relaxed geometry at the GGA-PBE level of DFT.

Size of the total moment, μB per cell: 0.0

abc: 5.7543 5.7543 5.7543
angles: 100.16 100.16 130.32
Fractional coordinates of all 8 atoms:
Li (0.0000, 0.0000, 0.0000)
Li (0.7500, 0.2500, 0.5000)
Ir (0.2500, 0.7500, 0.5000)
Ir (0.5000, 0.5000, 0.0000)
Ru (0.1780, 0.1250, 0.5530)
Ru (0.3750, 0.8220, 0.9470)
Ru (0.5720, 0.6250, 0.4470)
Ru (0.8750, 0.4280, 0.0530)

***

Verdict on stability: A comes out on top.

***

A:
Computed, not measured: crystalline LiIrRu2 at its relaxed geometry at the GGA-PBE level of DFT.

Size of the total moment, μB per cell: 0.9

abc: 2.6652 2.6652 9.0940
angles: 90.00 90.00 117.97
Fractional coordinates of all 4 atoms:
Li (0.0000, 0.0000, 0.0000)
Ir (0.5000, 0.5000, 0.2443)
Ru (0.0000, 0.0000, 0.5005)
Ru (0.5000, 0.5000, 0.7452)

***

B:
Computed, not measured: crystalline LiIrRu2 at its relaxed geometry at the GGA-PBE level of DFT.

Size of the total moment, μB per cell: 0.0

abc: 4.9434 4.9434 4.9434
angles: 146.04 128.20 63.39
Fractional coordinates of all 4 atoms:
Li (0.0000, 0.0000, 0.0000)
Ir (0.5000, 0.5000, 0.0000)
Ru (0.2350, 0.7350, 0.5000)
Ru (0.7650, 0.2650, 0.5000)

***

C:
Computed, not measured: crystalline LiIrRu2 at its relaxed geometry at the GGA-PBE level of DFT.

Size of the total moment, μB per cell: 0.0

abc: 2.7230 3.9249 5.0602
angles: 90.00 90.00 90.00
Fractional coordinates of all 4 atoms:
Li (0.0000, 0.0000, 0.0000)
Ir (0.0000, 0.0000, 0.5000)
Ru (0.5000, 0.5000, 0.2369)
Ru (0.5000, 0.5000, 0.7631)

***

Verdict on stability: C comes out on top.

***

A:
Computed, not measured: crystalline LiIr3S at its relaxed geometry at the GGA-PBE level of DFT.

Size of the total moment, μB per cell: 0.0

abc: 4.1743 4.1743 4.1743
angles: 90.00 90.00 90.00
Fractional coordinates of all 5 atoms:
Li (0.0000, 0.0000, 0.0000)
Ir (0.0000, 0.0000, 0.5000)
Ir (0.0000, 0.5000, 0.0000)
Ir (0.5000, 0.0000, 0.0000)
S (0.5000, 0.5000, 0.5000)

***

B:
Computed, not measured: crystalline LiIr3S at its relaxed geometry at the GGA-PBE level of DFT.

Size of the total moment, μB per cell: 0.0

abc: 4.3882 4.3882 4.3882
angles: 90.00 90.00 90.00
Fractional coordinates of all 5 atoms:
Li (0.0000, 0.0000, 0.0000)
Ir (0.0000, 0.5000, 0.5000)
Ir (0.5000, 0.0000, 0.5000)
Ir (0.5000, 0.5000, 0.0000)
S (0.5000, 0.5000, 0.5000)

***

Verdict on stability: B comes out on top.

***

A:
Computed, not measured: crystalline LiSb2Ir at its relaxed geometry at the GGA-PBE level of DFT.

Size of the total moment, μB per cell: 0.0

abc: 4.5140 4.5140 3.7274
angles: 90.18 90.18 90.41
Fractional coordinates of all 4 atoms:
Li (0.0000, 0.0000, 0.0000)
Sb (0.0000, 0.5000, 0.5000)
Sb (0.5000, 0.0000, 0.5000)
Ir (0.5000, 0.5000, 0.0000)

***

B:
Computed, not measured: crystalline LiSb2Ir at its relaxed geometry at the GGA-PBE level of DFT.

Size of the total moment, μB per cell: 0.0

abc: 5.5150 5.5150 5.5150
angles: 137.13 137.13 62.23
Fractional coordinates of all 4 atoms:
Li (0.0000, 0.0000, 0.0000)
Sb (0.2500, 0.7500, 0.5000)
Sb (0.5000, 0.5000, 0.0000)
Ir (0.7500, 0.2500, 0.5000)

***

C:
Computed, not measured: crystalline LiSb2Ir at its relaxed geometry at the GGA-PBE level of DFT.

Size of the total moment, μB per cell: 0.0

abc: 4.7541 4.7541 4.7541
angles: 60.00 60.00 60.00
Fractional coordinates of all 4 atoms:
Li (0.0000, 0.0000, 0.0000)
Sb (0.2500, 0.2500, 0.2500)
Sb (0.7500, 0.7500, 0.7500)
Ir (0.5000, 0.5000, 0.5000)

***

Verdict on stability: C comes out on top.

***

A:
Computed, not measured: crystalline Li2ScIr at its relaxed geometry at the GGA-PBE level of DFT.

Size of the total moment, μB per cell: 0.0

abc: 3.0554 4.8506 4.4835
angles: 90.00 94.31 90.00
Fractional coordinates of all 4 atoms:
Li (0.2187, 0.0000, 0.2872)
Li (0.7813, 0.0000, 0.7128)
Sc (0.5000, 0.5000, 0.0000)
Ir (0.0000, 0.5000, 0.5000)

***

B:
Computed, not measured: crystalline Li2ScIr at its relaxed geometry at the GGA-PBE level of DFT.

Size of the total moment, μB per cell: 0.0

abc: 2.9387 4.1747 5.1748
angles: 90.00 90.00 90.00
Fractional coordinates of all 4 atoms:
Li (0.0000, 0.0000, 0.2078)
Li (0.0000, 0.0000, 0.7922)
Sc (0.5000, 0.5000, 0.5000)
Ir (0.5000, 0.5000, 0.0000)

***

Verdict on stability: A comes out on top.

***

A:
Computed, not measured: crystalline Li2ScIr2 at its relaxed geometry at the GGA-PBE level of DFT.

Size of the total moment, μB per cell: 0.0

abc: 6.6619 6.6619 3.1070
angles: 90.00 90.00 90.00
Fractional coordinates of all 10 atoms:
Li (0.1068, 0.3932, 0.0000)
Li (0.3932, 0.8932, 0.0000)
Li (0.6068, 0.1068, 0.0000)
Li (0.8932, 0.6068, 0.0000)
Sc (0.0000, 0.0000, 0.0000)
Sc (0.5000, 0.5000, 0.0000)
Ir (0.1942, 0.6942, 0.5000)
Ir (0.3058, 0.1942, 0.5000)
Ir (0.6942, 0.8058, 0.5000)
Ir (0.8058, 0.3058, 0.5000)

***

B:
Computed, not measured: crystalline Li2ScIr2 at its relaxed geometry at the GGA-PBE level of DFT.

Size of the total moment, μB per cell: 0.0

abc: 7.0359 7.0359 2.9935
angles: 90.00 90.00 90.00
Fractional coordinates of all 10 atoms:
Li (0.1602, 0.3398, 0.0000)
Li (0.3398, 0.8398, 0.0000)
Li (0.6602, 0.1602, 0.0000)
Li (0.8398, 0.6602, 0.0000)
Sc (0.0000, 0.0000, 0.5000)
Sc (0.5000, 0.5000, 0.5000)
Ir (0.1334, 0.6334, 0.5000)
Ir (0.3666, 0.1334, 0.5000)
Ir (0.6334, 0.8666, 0.5000)
Ir (0.8666, 0.3666, 0.5000)

***

C:
Computed, not measured: crystalline Li2ScIr2 at its relaxed geometry at the GGA-PBE level of DFT.

Size of the total moment, μB per cell: 0.0

abc: 7.4819 7.4819 7.4819
angles: 155.01 155.01 35.64
Fractional coordinates of all 5 atoms:
Li (0.2500, 0.7500, 0.5000)
Li (0.7500, 0.2500, 0.5000)
Sc (0.0000, 0.0000, 0.0000)
Ir (0.3926, 0.3926, 0.0000)
Ir (0.6073, 0.6073, 0.0000)

***

Verdict on stability: A comes out on top.

***

A:
Computed, not measured: crystalline LiScIr at its relaxed geometry at the GGA-PBE level of DFT.

Size of the total moment, μB per cell: 0.0

abc: 4.5046 3.1468 14.2388
angles: 90.00 90.00 90.00
Fractional coordinates of all 12 atoms:
Li (0.2460, 0.2500, 0.0179)
Li (0.2540, 0.7500, 0.5179)
Li (0.7460, 0.2500, 0.4821)
Li (0.7540, 0.7500, 0.9821)
Sc (0.2397, 0.2500, 0.3297)
Sc (0.2603, 0.7500, 0.8297)
Sc (0.7397, 0.2500, 0.1703)
Sc (0.7603, 0.7500, 0.6703)
Ir (0.2393, 0.7500, 0.1693)
Ir (0.2607, 0.2500, 0.6693)
Ir (0.7393, 0.7500, 0.3307)
Ir (0.7607, 0.2500, 0.8307)

***

B:
Computed, not measured: crystalline LiScIr at its relaxed geometry at the GGA-PBE level of DFT.

Size of the total moment, μB per cell: 0.0

abc: 4.3405 4.3405 4.3405
angles: 60.00 60.00 60.00
Fractional coordinates of all 3 atoms:
Li (0.0000, 0.0000, 0.0000)
Sc (0.5000, 0.5000, 0.5000)
Ir (0.7500, 0.7500, 0.7500)

***

Verdict on stability: A comes out on top.

***

A:
Computed, not measured: crystalline LiScIr at its relaxed geometry at the GGA-PBE level of DFT.

Size of the total moment, μB per cell: 0.0

abc: 3.0341 3.0341 6.7192
angles: 90.00 90.00 120.00
Fractional coordinates of all 3 atoms:
Li (0.0000, 0.0000, 0.0000)
Sc (0.6667, 0.3333, 0.4020)
Ir (0.3333, 0.6667, 0.6961)

***

B:
Computed, not measured: crystalline LiScIr at its relaxed geometry at the GGA-PBE level of DFT.

Size of the total moment, μB per cell: 0.0

abc: 10.6829 10.6829 3.2308
angles: 90.00 90.00 163.35
Fractional coordinates of all 6 atoms:
Li (0.2142, 0.7858, 0.7500)
Li (0.7858, 0.2142, 0.2500)
Sc (0.0764, 0.9236, 0.7500)
Sc (0.9236, 0.0764, 0.2500)
Ir (0.3549, 0.6451, 0.7500)
Ir (0.6451, 0.3549, 0.2500)

***

C:
Computed, not measured: crystalline LiScIr at its relaxed geometry at the GGA-PBE level of DFT.

Size of the total moment, μB per cell: 0.0

abc: 4.2790 4.2790 2.9798
angles: 90.00 90.00 120.00
Fractional coordinates of all 3 atoms:
Li (0.0000, 0.0000, 0.0000)
Sc (0.3333, 0.6667, 0.3686)
Ir (0.6667, 0.3333, 0.7658)

***

D:
Computed, not measured: crystalline LiScIr at its relaxed geometry at the GGA-PBE level of DFT.

Size of the total moment, μB per cell: 0.0

abc: 4.8066 4.8066 4.8066
angles: 142.63 133.95 60.74
Fractional coordinates of all 3 atoms:
Li (0.0000, 0.0000, 0.0000)
Sc (0.6878, 0.6878, 0.0000)
Ir (0.3440, 0.3440, 0.0000)

***

Verdict on stability: C comes out on top.

***

A:
Computed, not measured: crystalline Li3IrSe at its relaxed geometry at the GGA-PBE level of DFT.

Size of the total moment, μB per cell: 2.0

abc: 4.7148 4.7148 4.7148
angles: 90.00 90.00 90.00
Fractional coordinates of all 5 atoms:
Li (0.0000, 0.0000, 0.5000)
Li (0.0000, 0.5000, 0.0000)
Li (0.5000, 0.0000, 0.0000)
Ir (0.0000, 0.0000, 0.0000)
Se (0.5000, 0.5000, 0.5000)

***

B:
Computed, not measured: crystalline Li3IrSe at its relaxed geometry at the GGA-PBE level of DFT.

Size of the total moment, μB per cell: 2.0

abc: 4.6694 4.6694 4.6694
angles: 90.00 90.00 90.00
Fractional coordinates of all 5 atoms:
Li (0.0000, 0.0000, 0.5000)
Li (0.0000, 0.5000, 0.0000)
Li (0.5000, 0.0000, 0.0000)
Ir (0.5000, 0.5000, 0.5000)
Se (0.0000, 0.0000, 0.0000)

***

Verdict on stability: B comes out on top.

***

A:
Computed, not measured: crystalline Li3SiIr at its relaxed geometry at the GGA-PBE level of DFT.

Size of the total moment, μB per cell: 0.0

abc: 4.5478 4.5478 4.5478
angles: 90.00 90.00 90.00
Fractional coordinates of all 5 atoms:
Li (0.0000, 0.0000, 0.5000)
Li (0.0000, 0.5000, 0.0000)
Li (0.5000, 0.0000, 0.0000)
Si (0.5000, 0.5000, 0.5000)
Ir (0.0000, 0.0000, 0.0000)

***

B:
Computed, not measured: crystalline Li3SiIr at its relaxed geometry at the GGA-PBE level of DFT.

Size of the total moment, μB per cell: 0.0

abc: 4.3692 4.3692 4.3692
angles: 90.00 90.00 90.00
Fractional coordinates of all 5 atoms:
Li (0.0000, 0.0000, 0.5000)
Li (0.0000, 0.5000, 0.0000)
Li (0.5000, 0.0000, 0.0000)
Si (0.0000, 0.0000, 0.0000)
Ir (0.5000, 0.5000, 0.5000)

***

Verdict on stability: A comes out on top.

***

A:
Computed, not measured: crystalline LiSm3Ir at its relaxed geometry at the GGA-PBE level of DFT.

Size of the total moment, μB per cell: 0.0

abc: 9.6232 9.6232 6.4811
angles: 90.00 90.00 63.74
Fractional coordinates of all 20 atoms:
Li (0.0005, 0.9995, 0.8116)
Li (0.4995, 0.5005, 0.3116)
Li (0.5005, 0.4995, 0.6884)
Li (0.9995, 0.0005, 0.1884)
Sm (0.0750, 0.7048, 0.4998)
Sm (0.2002, 0.2002, 0.0000)
Sm (0.2048, 0.5750, 0.9998)
Sm (0.2952, 0.9250, 0.4998)
Sm (0.2998, 0.2998, 0.5000)
Sm (0.4250, 0.7952, 0.9998)
Sm (0.5750, 0.2048, 0.0002)
Sm (0.7002, 0.7002, 0.5000)
Sm (0.7048, 0.0750, 0.5002)
Sm (0.7952, 0.4250, 0.0002)
Sm (0.7998, 0.7998, 0.0000)
Sm (0.9250, 0.2952, 0.5002)
Ir (0.0001, 0.4999, 0.2500)
Ir (0.9999, 0.5001, 0.7500)
Ir (0.5001, 0.9999, 0.2500)
Ir (0.4999, 0.0001, 0.7500)

***

B:
Computed, not measured: crystalline LiSm3Ir at its relaxed geometry at the GGA-PBE level of DFT.

Size of the total moment, μB per cell: 0.0

abc: 5.5458 5.5458 5.5458
angles: 90.00 90.00 90.00
Fractional coordinates of all 5 atoms:
Li (0.0000, 0.0000, 0.0000)
Sm (0.0000, 0.5000, 0.5000)
Sm (0.5000, 0.0000, 0.5000)
Sm (0.5000, 0.5000, 0.0000)
Ir (0.5000, 0.5000, 0.5000)

***

Verdict on stability: A comes out on top.